1.
Below is CaThBi2 after structural relaxation, with properties calculated at the GGA-PBE level.

Cell and atoms, written as POSCAR:
```
CaThBi2
1.0
3.673 0.000 0.000
0.000 5.808 0.000
0.000 0.000 5.808
Ca Bi Th
1 2 1
Direct
0.500 0.000 0.000
0.000 0.000 0.500
0.000 0.500 0.000
0.500 0.500 0.500
```

Properties
Magnetization = 0.000 Bohr magnetons per cell
VASP energy = -4.89 eV/atom
Mass density = 9.2 g/cm³
ΔE_f = -0.59 eV/atom
Offset from the most stable computed form = 152.7 meV per atom

2.
Below is Ti4HN3 after structural relaxation, with properties calculated at the GGA-PBE level.

Cell and atoms, written as POSCAR:
```
Ti4HN3
1.0
4.245 0.000 0.000
0.000 6.100 0.000
0.000 0.000 6.828
Ti H N
8 2 6
Direct
0.064 0.825 0.000
0.564 0.154 0.000
0.064 0.334 0.244
0.564 0.666 0.256
0.064 0.846 0.500
0.564 0.175 0.500
0.564 0.666 0.744
0.064 0.334 0.756
0.064 0.156 0.000
0.564 0.844 0.500
0.564 0.827 0.000
0.064 0.661 0.257
0.564 0.339 0.243
0.064 0.173 0.500
0.564 0.339 0.757
0.064 0.661 0.743
```

Properties
Magnetization = 0.000 Bohr magnetons per cell
VASP energy = -8.77 eV/atom
Mass density = 4.4 g/cm³
Offset from the most stable computed form = 164.6 meV per atom

What did the first record say?
Below is CaThBi2 after structural relaxation, with properties calculated at the GGA-PBE level.

Cell and atoms, written as POSCAR:
```
CaThBi2
1.0
3.673 0.000 0.000
0.000 5.808 0.000
0.000 0.000 5.808
Ca Bi Th
1 2 1
Direct
0.500 0.000 0.000
0.000 0.000 0.500
0.000 0.500 0.000
0.500 0.500 0.500
```

Properties
Magnetization = 0.000 Bohr magnetons per cell
VASP energy = -4.89 eV/atom
Mass density = 9.2 g/cm³
ΔE_f = -0.59 eV/atom
Offset from the most stable computed form = 152.7 meV per atom

Which formula does entry 1 have? CaThBi2

Among the records above, which one has the lowest offset from the most stable computed form? CaThBi2